The following is a DFT calculation (PBE) of crystalline LiPmIrPb at its relaxed geometry.

crystal system: cubic
electronic total energy: -5.224 eV per atom
symmetry: F-43m, No. 216
E_form: -0.415 eV per atom

a = 6.899 Å, b = 6.899 Å, c = 6.899 Å
α = 90.00°, β = 90.00°, γ = 90.00°
Fractional coordinates of all 16 atoms:
Li1 0.000 0.000 0.000
Li2 0.000 0.500 0.500
Li3 0.500 0.000 0.500
Li4 0.500 0.500 0.000
Pm1 0.250 0.250 0.250
Pm2 0.250 0.750 0.750
Pm3 0.750 0.250 0.750
Pm4 0.750 0.750 0.250
Ir1 0.000 0.000 0.500
Ir2 0.000 0.500 0.000
Ir3 0.500 0.000 0.000
Ir4 0.500 0.500 0.500
Pb1 0.250 0.250 0.750
Pb2 0.250 0.750 0.250
Pb3 0.750 0.250 0.250
Pb4 0.750 0.750 0.750

=====

The following is a DFT calculation (PBE) of crystalline LiPrIrPb at its relaxed geometry.

crystal system: cubic
electronic total energy: -5.193 eV per atom
symmetry: F-43m, No. 216
E_form: -0.378 eV per atom

a = 6.960 Å, b = 6.960 Å, c = 6.960 Å
α = 90.00°, β = 90.00°, γ = 90.00°
Fractional coordinates of all 16 atoms:
Li1 0.000 0.000 0.000
Li2 0.000 0.500 0.500
Li3 0.500 0.000 0.500
Li4 0.500 0.500 0.000
Pr1 0.250 0.250 0.750
Pr2 0.250 0.750 0.250
Pr3 0.750 0.250 0.250
Pr4 0.750 0.750 0.750
Ir1 0.000 0.000 0.500
Ir2 0.000 0.500 0.000
Ir3 0.500 0.000 0.000
Ir4 0.500 0.500 0.500
Pb1 0.250 0.250 0.250
Pb2 0.250 0.750 0.750
Pb3 0.750 0.250 0.750
Pb4 0.750 0.750 0.250

=====

The following is a DFT calculation (PBE) of crystalline LiSmIrPb at its relaxed geometry.

crystal system: cubic
electronic total energy: -5.226 eV per atom
symmetry: F-43m, No. 216
E_form: -0.425 eV per atom

a = 6.879 Å, b = 6.879 Å, c = 6.879 Å
α = 90.00°, β = 90.00°, γ = 90.00°
Fractional coordinates of all 16 atoms:
Li1 0.000 0.000 0.000
Li2 0.000 0.500 0.500
Li3 0.500 0.000 0.500
Li4 0.500 0.500 0.000
Sm1 0.250 0.250 0.250
Sm2 0.250 0.750 0.750
Sm3 0.750 0.250 0.750
Sm4 0.750 0.750 0.250
Ir1 0.000 0.000 0.500
Ir2 0.000 0.500 0.000
Ir3 0.500 0.000 0.000
Ir4 0.500 0.500 0.500
Pb1 0.250 0.250 0.750
Pb2 0.250 0.750 0.250
Pb3 0.750 0.250 0.250
Pb4 0.750 0.750 0.750

=====

Calculated theoretical density in order - 11.15; 10.78; 11.36 g/cm3